[1]
A relaxed structure of ScMoN3. Source: the Alexandria database, functional PBE.

a b c (Å): 5.7131 7.8198 8.1218
angles (deg): 63.30 82.28 73.96
Space group P-1 (No. 2)
Symmetry-distinct sites (fractional):
Sc (0.0230, 0.1075, 0.2660) (multiplicity 2)
Sc (0.0730, 0.3273, 0.8219) (multiplicity 2)
Mo (0.2491, 0.6811, 0.5195) (multiplicity 2)
Mo (0.3900, 0.8211, 0.0967) (multiplicity 2)
N (0.0025, 0.3666, 0.3111) (multiplicity 2)
N (0.0770, 0.8108, 0.2878) (multiplicity 2)
N (0.2227, 0.7466, 0.9788) (multiplicity 2)
N (0.2722, 0.8986, 0.5275) (multiplicity 2)
N (0.3112, 0.1129, 0.0489) (multiplicity 2)
N (0.4387, 0.3825, 0.6872) (multiplicity 2)



[2]
A relaxed structure of ScMoN2. Source: the Alexandria database, functional PBE.

a b c (Å): 3.0140 3.0140 16.3426
angles (deg): 90.00 90.00 120.00
Space group R3m (No. 160, hexagonal axes)
Symmetry-distinct sites (fractional):
Sc (0.0000, 0.0000, 0.0000) (multiplicity 3)
Mo (0.0000, 0.0000, 0.1722) (multiplicity 3)
N (0.0000, 0.0000, 0.4217) (multiplicity 3)
N (0.0000, 0.0000, 0.5840) (multiplicity 3)

Results
energy relative to the lowest polymorph listed for this composition = 97.9 meV/atom



[3]
A relaxed structure of ScMo3N. Source: the Alexandria database, functional PBE.

a b c (Å): 4.5839 4.5839 4.5839
angles (deg): 90.00 90.00 90.00
Space group Pm-3m (No. 221)
Symmetry-distinct sites (fractional):
Sc (0.0000, 0.0000, 0.0000) (multiplicity 1)
Mo (0.0000, 0.0000, 0.5000) (multiplicity 3)
N (0.5000, 0.5000, 0.5000) (multiplicity 1)

Results
energy relative to the lowest polymorph listed for this composition = 3263.1 meV/atom



no.,ΔE_f (raw) (eV per atom)
1,-0.7306
2,-1.0178
3,3.0970